--- w ---
First-principles (PBE-GGA) data for an optimized crystal structure of RbAg2H, as listed in the Alexandria database.

For the volume, the calculation gives 22.919 A^3/atom. For the magnetization, the calculation gives 0.00 μB per formula unit. The density of states at the Fermi level is 0.19 states/eV/f.u.

abc: 5.939 5.939 6.683
angles: 63.62 63.62 90.00
Fractional coordinates of all 8 atoms:
Rb (0.750, 0.250, 0.500)
H (0.500, 0.500, 0.000)
Rb (0.000, 0.000, 0.000)
Ag (0.875, 0.625, 0.750)
Ag (0.375, 0.625, 0.750)
H (0.250, 0.750, 0.500)
Ag (0.375, 0.625, 0.250)
Ag (0.375, 0.125, 0.250)

=====

--- x ---
First-principles (PBE-GGA) data for an optimized crystal structure of RbAg2H, as listed in the Alexandria database.

For the volume, the calculation gives 25.589 A^3/atom. For the magnetization, the calculation gives 0.00 μB per formula unit. The density of states at the Fermi level is 2.29 states/eV/f.u.

abc: 5.251 5.251 5.251
angles: 60.00 60.00 60.00
Fractional coordinates of all 4 atoms:
H (0.000, 0.000, 0.000)
Rb (0.500, 0.500, 0.500)
Ag (0.750, 0.750, 0.750)
Ag (0.250, 0.250, 0.250)

=====

Quick ranking, most stable first: w, x.